[1]
Compound: CoAg3Sn3S8
Source: Alexandria via LeMat-Bulk
Functional: PBE
Structure: relaxed

Unit cell a=7.487 b=7.491 c=7.785 alpha=118.82 beta=90.00 gamma=119.98
Atoms (fractional coordinates):
Co1 0.000 0.000 0.500
Ag1 0.000 0.000 0.000
Ag2 0.000 0.500 0.000
Ag3 0.500 0.500 0.000
Sn1 0.500 0.000 0.500
Sn2 0.500 0.500 0.500
Sn3 0.000 0.500 0.500
S1 0.251 0.502 0.253
S2 0.749 0.498 0.747
S3 0.785 0.569 0.287
S4 0.215 0.431 0.713
S5 0.785 0.002 0.287
S6 0.215 0.998 0.713
S7 0.217 0.002 0.287
S8 0.783 0.998 0.713

Space-group type   C2/m
D(E_F)   4.108 states/eV per cell
Energy relative to the elements, uncorrected   -3.88 eV per formula unit

[2]
Compound: PaTa2Se2S4
Source: Alexandria via LeMat-Bulk
Functional: PBE
Structure: relaxed

Unit cell a=3.493 b=3.493 c=20.681 alpha=90.00 beta=90.00 gamma=120.00
Each line ends with the local moment (μB).
Atoms (fractional coordinates):
Pa1 0.000 0.000 0.322  0.61
Ta1 0.000 0.000 0.982  -0.03
Ta2 0.667 0.333 0.655  -0.05
Se1 0.667 0.333 0.416  -0.01
Se2 0.667 0.333 0.229  -0.01
S1 0.000 0.000 0.581  0.00
S2 0.667 0.333 0.055  0.00
S3 0.667 0.333 0.909  0.00
S4 0.000 0.000 0.728  0.00

Space-group type   P3m1
D(E_F)   7.197 states/eV per cell
Energy relative to the elements, uncorrected   -8.77 eV per formula unit

[3]
Compound: PrNd4Sm2Er
Source: Alexandria via LeMat-Bulk
Functional: PBE
Structure: relaxed

Unit cell a=3.661 b=6.310 c=12.099 alpha=79.76 beta=90.00 gamma=90.00
Atoms (fractional coordinates):
Pr1 0.500 0.500 0.000
Nd1 0.000 0.750 0.747
Nd2 0.000 0.250 0.253
Nd3 0.500 0.749 0.253
Nd4 0.500 0.251 0.747
Sm1 0.000 0.000 0.000
Sm2 0.500 0.000 0.500
Er1 0.000 0.500 0.500

Space-group type   P2/m
D(E_F)   11.973 states/eV per cell
DFT formation energy   0.0165 eV/atom

[4]
Compound: Dy2Y3ErSe6
Source: Alexandria via LeMat-Bulk
Functional: PBE
Structure: relaxed

Unit cell a=4.064 b=8.181 c=9.104 alpha=103.13 beta=102.90 gamma=90.00
Atoms (fractional coordinates):
Dy1 0.833 0.666 0.665
Dy2 0.167 0.334 0.335
Y1 0.500 0.500 0.000
Y2 0.832 0.167 0.664
Y3 0.168 0.833 0.336
Er1 0.500 0.000 0.000
Se1 0.335 0.917 0.670
Se2 0.667 0.582 0.333
Se3 0.665 0.083 0.330
Se4 0.000 0.247 0.000
Se5 0.000 0.753 0.000
Se6 0.333 0.418 0.667

Space-group type   C2/m
D(E_F)   5.715 states/eV per cell
Energy relative to the elements, uncorrected   -20.97 eV per formula unit

[5]
Compound: CaSm2Dy2
Source: Alexandria via LeMat-Bulk
Functional: PBE
Structure: relaxed

Unit cell a=5.571 b=3.559 c=9.173 alpha=90.02 beta=107.68 gamma=90.00
Atoms (fractional coordinates):
Ca1 0.000 0.500 0.000
Sm1 0.620 0.000 0.241
Sm2 0.380 0.000 0.759
Dy1 0.799 0.500 0.598
Dy2 0.201 0.500 0.402

Space-group type   Cmmm
D(E_F)   7.166 states/eV per cell
DFT formation energy   0.0516 eV/atom

[6]
Compound: MgScBr2
Source: Alexandria via LeMat-Bulk
Functional: PBE
Structure: relaxed

Unit cell a=5.826 b=5.826 c=3.593 alpha=69.56 beta=69.56 gamma=101.77
Atoms (fractional coordinates):
Br1 0.000 0.000 0.000
Br2 0.500 0.500 0.000
Mg1 0.500 0.000 0.500
Sc1 0.000 0.500 0.500

Offset from the most stable computed form   361 meV/atom
Space-group type   C2/m
D(E_F)   2.490 states/eV per cell
Energy relative to the elements, uncorrected   -2.48 eV per formula unit

[7]
Compound: NaIn3Hg4
Source: Alexandria via LeMat-Bulk
Functional: PBE
Structure: relaxed

Unit cell a=5.167 b=5.167 c=9.468 alpha=73.65 beta=73.65 gamma=59.66
Atoms (fractional coordinates):
Na1 0.000 0.000 0.000
Hg1 0.877 0.877 0.371
Hg2 0.374 0.374 0.880
Hg3 0.123 0.123 0.629
Hg4 0.626 0.626 0.120
In1 0.254 0.254 0.240
In2 0.746 0.746 0.760
In3 0.500 0.500 0.500

Offset from the most stable computed form   0 meV/atom
Space-group type   C2/m
D(E_F)   1.858 states/eV per cell
DFT formation energy   -0.0882 eV/atom

[8]
Compound: Sr3Li6Sn5
Source: Alexandria via LeMat-Bulk
Functional: PBE
Structure: relaxed

Unit cell a=4.909 b=9.082 c=9.082 alpha=65.61 beta=74.32 gamma=74.32
Atoms (fractional coordinates):
Sr1 0.000 0.000 0.000
Sr2 0.705 0.295 0.295
Sr3 0.295 0.705 0.705
Li1 0.500 0.674 0.326
Li2 0.500 0.326 0.674
Li3 0.860 0.429 0.852
Li4 0.140 0.571 0.148
Li5 0.860 0.852 0.429
Li6 0.140 0.148 0.571
Sn1 0.653 0.702 0.992
Sn2 0.347 0.298 0.008
Sn3 0.653 0.992 0.702
Sn4 0.347 0.008 0.298
Sn5 0.000 0.500 0.500

Space-group type   Immm
D(E_F)   4.590 states/eV per cell
DFT formation energy   -0.4916 eV/atom

[9]
Compound: LaPr4Co
Source: Alexandria via LeMat-Bulk
Functional: PBE
Structure: relaxed

Unit cell a=4.829 b=4.829 c=9.224 alpha=90.00 beta=90.00 gamma=90.00
Each line ends with the local moment (μB).
Atoms (fractional coordinates):
La1 0.000 0.000 0.000  0.23
Pr1 0.500 0.000 0.318  0.01
Pr2 0.000 0.500 0.318  0.01
Pr3 0.000 0.500 0.682  0.01
Pr4 0.500 0.000 0.682  0.01
Co1 0.500 0.500 0.500  0.14

Offset from the most stable computed form   303 meV/atom
Space-group type   P4/mmm
D(E_F)   7.560 states/eV per cell
DFT formation energy   0.3350 eV/atom

[10]
Compound: AcInAu11
Source: Alexandria via LeMat-Bulk
Functional: PBE
Structure: relaxed

Unit cell a=5.637 b=7.610 c=7.164 alpha=82.30 beta=66.83 gamma=70.08
Atoms (fractional coordinates):
Ac1 0.000 0.000 0.000
In1 0.500 0.500 0.000
Au1 0.296 0.215 0.215
Au2 0.704 0.785 0.785
Au3 0.489 0.785 0.215
Au4 0.511 0.215 0.785
Au5 0.334 0.656 0.645
Au6 0.666 0.344 0.355
Au7 0.020 0.344 0.645
Au8 0.980 0.656 0.355
Au9 0.000 0.500 0.000
Au10 0.500 0.000 0.500
Au11 0.000 0.000 0.500

Space-group type   C2/m
D(E_F)   3.896 states/eV per cell
DFT formation energy   -0.2590 eV/atom

[11]
Compound: Cu2SbMo
Source: Alexandria via LeMat-Bulk
Functional: PBE
Structure: relaxed

Unit cell a=8.994 b=8.994 c=8.994 alpha=18.85 beta=18.85 gamma=18.85
Atoms (fractional coordinates):
Cu1 0.996 0.996 0.996
Cu2 0.504 0.504 0.504
Mo1 0.250 0.250 0.250
Sb1 0.750 0.750 0.750

Space-group type   R-3m
D(E_F)   2.376 states/eV per cell
Energy relative to the elements, uncorrected   2.15 eV per formula unit

[12]
Compound: InTeO2
Source: Alexandria via LeMat-Bulk
Functional: PBE
Structure: relaxed

Unit cell a=4.390 b=4.390 c=4.390 alpha=60.00 beta=60.00 gamma=60.00
Atoms (fractional coordinates):
Te1 0.500 0.500 0.500
O1 0.250 0.250 0.250
O2 0.750 0.750 0.750
In1 0.000 0.000 0.000

Offset from the most stable computed form   1065 meV/atom
Space-group type   Fm-3m
D(E_F)   2.441 states/eV per cell
Energy relative to the elements, uncorrected   0.09 eV per formula unit

[13]
Compound: Ca2PmSm
Source: Alexandria via LeMat-Bulk
Functional: PBE
Structure: relaxed

Unit cell a=5.616 b=5.113 c=5.113 alpha=90.00 beta=90.00 gamma=90.00
Atoms (fractional coordinates):
Ca1 0.000 0.000 0.500
Ca2 0.000 0.500 0.000
Sm1 0.500 0.000 0.000
Pm1 0.500 0.500 0.500

Offset from the most stable computed form   93 meV/atom
Space-group type   P4/mmm
D(E_F)   5.899 states/eV per cell
DFT formation energy   0.1339 eV/atom

[14]
Compound: YVS2
Source: Alexandria via LeMat-Bulk
Functional: PBE
Structure: relaxed

Unit cell a=5.668 b=5.668 c=7.132 alpha=66.59 beta=66.59 gamma=90.00
Each line ends with the local moment (μB).
Atoms (fractional coordinates):
Y1 0.000 0.000 0.000  0.05
Y2 0.750 0.250 0.500  0.05
S1 0.580 0.125 0.250  -0.04
S2 0.170 0.625 0.250  -0.04
S3 0.375 0.420 0.750  -0.04
S4 0.875 0.830 0.750  -0.04
V1 0.500 0.500 0.000  2.07
V2 0.250 0.750 0.500  2.07

Offset from the most stable computed form   0 meV/atom
Space-group type   I-42d
D(E_F)   5.271 states/eV per cell
Energy relative to the elements, uncorrected   -4.26 eV per formula unit

[15]
Compound: MgSiSe2
Source: Alexandria via LeMat-Bulk
Functional: PBE
Structure: relaxed

Unit cell a=3.402 b=3.402 c=6.769 alpha=90.00 beta=90.00 gamma=90.00
Atoms (fractional coordinates):
Mg1 0.500 0.500 0.750
Se1 0.000 0.000 0.999
Se2 0.000 0.000 0.501
Si1 0.500 0.500 0.250

Space-group type   P4/mmm
D(E_F)   1.501 states/eV per cell
Energy relative to the elements, uncorrected   -0.36 eV per formula unit

[16]
Compound: Sr3AcPd8
Source: Alexandria via LeMat-Bulk
Functional: PBE
Structure: relaxed

Unit cell a=5.644 b=5.644 c=9.723 alpha=73.13 beta=73.13 gamma=60.00
Atoms (fractional coordinates):
Sr1 0.374 0.374 0.879
Sr2 0.003 0.003 0.990
Sr3 0.497 0.497 0.509
Ac1 0.876 0.876 0.372
Pd1 0.935 0.438 0.190
Pd2 0.440 0.937 0.685
Pd3 0.438 0.438 0.190
Pd4 0.937 0.937 0.685
Pd5 0.187 0.187 0.438
Pd6 0.688 0.688 0.937
Pd7 0.438 0.935 0.190
Pd8 0.937 0.440 0.685

Space-group type   R3m
D(E_F)   8.990 states/eV per cell
DFT formation energy   -0.6675 eV/atom

[17]
Compound: MgNiAg2H
Source: Alexandria via LeMat-Bulk
Functional: PBE
Structure: relaxed

Unit cell a=4.802 b=4.765 c=4.802 alpha=90.00 beta=90.00 gamma=90.00
Atoms (fractional coordinates):
Ni1 0.000 0.000 0.000
Mg1 0.000 0.500 0.000
Ag1 0.000 0.000 0.500
Ag2 0.500 0.000 0.000
H1 0.500 0.500 0.500

Space-group type   P4/mmm
D(E_F)   3.532 states/eV per cell

[18]
Compound: BaMoIr2
Source: Alexandria via LeMat-Bulk
Functional: PBE
Structure: relaxed

Unit cell a=5.190 b=5.189 c=2.950 alpha=90.00 beta=90.00 gamma=90.00
Atoms (fractional coordinates):
Ba1 0.000 0.500 0.500
Ir1 0.000 0.000 0.000
Ir2 0.500 0.500 0.000
Mo1 0.500 0.000 0.500

Offset from the most stable computed form   755 meV/atom
Space-group type   P4/mmm
D(E_F)   5.047 states/eV per cell
DFT formation energy   0.8420 eV/atom

[19]
Compound: ZrHgBr6
Source: Alexandria via LeMat-Bulk
Functional: PBE
Structure: relaxed

Unit cell a=6.877 b=6.898 c=7.414 alpha=62.03 beta=62.01 gamma=60.22
Atoms (fractional coordinates):
Zr1 0.000 0.000 0.000
Hg1 0.500 0.500 0.500
Br1 0.076 0.403 0.758
Br2 0.767 0.074 0.759
Br3 0.600 0.234 0.240
Br4 0.233 0.926 0.241
Br5 0.924 0.597 0.242
Br6 0.400 0.766 0.760

Space-group type   P-1
Energy relative to the elements, uncorrected   -7.55 eV per formula unit

[20]
Compound: Pu2ThUAs4
Source: Alexandria via LeMat-Bulk
Functional: PBE
Structure: relaxed

Unit cell a=4.156 b=7.268 c=7.159 alpha=109.42 beta=90.00 gamma=90.00
Each line ends with the local moment (μB).
Atoms (fractional coordinates):
Pu1 0.500 0.000 0.500  -5.18
Pu2 0.000 0.500 0.500  5.11
Th1 0.000 0.000 0.000  -0.02
U1 0.500 0.500 0.000  2.10
As1 0.500 0.259 0.253  -0.04
As2 0.500 0.741 0.747  -0.04
As3 0.000 0.257 0.751  -0.01
As4 0.000 0.743 0.249  -0.01

Space-group type   P2/m
D(E_F)   28.881 states/eV per cell
DFT formation energy   -1.0384 eV/atom

[21]
Compound: SrLa3Ir
Source: Alexandria via LeMat-Bulk
Functional: PBE
Structure: relaxed

Unit cell a=5.760 b=5.760 c=13.891 alpha=78.03 beta=78.03 gamma=90.00
Atoms (fractional coordinates):
Sr1 0.000 0.000 0.000
Sr2 0.250 0.750 0.500
Ir1 0.700 0.200 0.601
Ir2 0.800 0.300 0.399
La1 0.622 0.860 0.279
La2 0.140 0.378 0.721
La3 0.140 0.901 0.721
La4 0.099 0.860 0.279
La5 0.292 0.292 0.415
La6 0.708 0.708 0.585

Offset from the most stable computed form   951 meV/atom
Space-group type   I-4m2
D(E_F)   17.464 states/eV per cell
DFT formation energy   0.6282 eV/atom

Asked for DFT total energy across the records above, the calculation gives -4.3044, -7.2724, -4.7150, -6.2532, -4.0773, -3.4388, -1.4309, -3.1018, -4.8569, -3.5589, -5.2487, -3.9255, -3.2344, -7.0250, -3.5875, -4.8922, -2.3103, -6.7770, -3.3051, -9.2846, -4.4368 eV per atom in order.